Entry 1:
TiCrCuPt | PBE | relaxed

Values from the calculation:
- SG: F-43m
- Formation enthalpy at 0 K: -0.32 eV/atom

Geometry as POSCAR:
```
TiCrCuPt
1.0
6.106 0.000 0.000
0.000 6.106 0.000
0.000 0.000 6.106
Ti Cr Cu Pt
4 4 4 4
Cartesian
0.000 0.000 0.000
0.000 3.053 3.053
3.053 0.000 3.053
3.053 3.053 0.000
1.527 1.527 4.580
1.527 4.580 1.527
4.580 1.527 1.527
4.580 4.580 4.580
0.000 0.000 3.053
0.000 3.053 0.000
3.053 0.000 0.000
3.053 3.053 3.053
1.527 1.527 1.527
1.527 4.580 4.580
4.580 1.527 4.580
4.580 4.580 1.527
```


Entry 2:
Tb4Er4Sc3 | PBE | relaxed

Values from the calculation:
- SG: C2/m
- Formation enthalpy at 0 K: 0.06 eV/atom
- Polymorph energy (0 for the lowest one): 0 meV/atom

Geometry as POSCAR:
```
Tb4Er4Sc3
1.0
18.102 -2.633 0.000
18.102 2.633 0.000
-0.322 0.000 3.402
Tb Er Sc
4 4 3
Cartesian
3.464 0.000 0.319
9.833 0.000 2.656
26.049 0.000 0.746
32.418 0.000 3.083
6.370 0.000 2.311
16.301 0.000 1.556
19.581 0.000 1.846
29.512 0.000 1.091
0.000 0.000 0.000
13.057 0.000 1.247
22.825 0.000 2.155
```


Entry 3:
Na2GaPt2 | PBE | relaxed

Values from the calculation:
- SG: I4/mmm
- Formation enthalpy at 0 K: 0.11 eV/atom
- Polymorph energy (0 for the lowest one): 538 meV/atom

Geometry as POSCAR:
```
Na2GaPt2
1.0
3.660 0.000 0.000
0.000 3.660 0.000
0.000 0.000 17.592
Na Ga Pt
4 2 4
Cartesian
0.000 0.000 2.017
0.000 0.000 15.576
1.830 1.830 6.779
1.830 1.830 10.813
0.000 0.000 8.796
1.830 1.830 0.000
0.000 1.830 4.398
0.000 1.830 13.194
1.830 0.000 4.398
1.830 0.000 13.194
```